(1)
An optimized crystal structure of Gd2BiN. Source: Alexandria via LeMat-Bulk, functional GGA-PBE.

Summary:
The calculation puts the formation energy (no corrections) at -1.07 eV per atom. The space group is No. 166. The density of states at the Fermi level comes out at 9.69 states/eV per cell. The mass density is 9.97 Mg/m³. For the total magnetization, the calculation gives 14.2 μB/f.u. Its energy above the most stable polymorph in this dataset is 0.000 eV per formula unit.

abc: 3.640 3.640 23.400
angles: 90.00 90.00 120.00
Fractional coordinates of all 12 atoms:
Gd  0.000  0.000  0.223
Gd  0.000  0.000  0.777
Gd  0.333  0.667  0.444
Gd  0.333  0.667  0.889
Gd  0.667  0.333  0.111
Gd  0.667  0.333  0.556
Bi  0.000  0.000  0.000
Bi  0.333  0.667  0.667
Bi  0.667  0.333  0.333
N  0.000  0.000  0.500
N  0.333  0.667  0.167
N  0.667  0.333  0.833

(2)
An optimized crystal structure of Ag4AsRu. Source: Alexandria via LeMat-Bulk, functional GGA-PBE.

Summary:
The space group is No. 216. For the formation energy, the calculation gives 0.653 eV per atom. The density of states at the Fermi level comes out at 4.53 states/eV per cell. The mass density is 9.02 Mg/m³. For the total magnetization, the calculation gives 2.0 μB/f.u.

abc: 5.408 5.408 5.408
angles: 60.00 60.00 60.00
Fractional coordinates of all 6 atoms:
Ag  0.125  0.125  0.125
Ag  0.125  0.125  0.624
Ag  0.125  0.624  0.125
Ag  0.624  0.125  0.125
As  0.750  0.750  0.750
Ru  0.500  0.500  0.500

(3)
An optimized crystal structure of MgZn8Ag5. Source: Alexandria via LeMat-Bulk, functional GGA-PBE.

Summary:
The space group is No. 82. For the formation energy, the calculation gives 0.037 eV per atom. The density of states at the Fermi level comes out at 4.75 states/eV per cell. The mass density is 7.39 Mg/m³. For the total magnetization, the calculation gives 0.0 μB/f.u.

abc: 6.872 6.872 6.872
angles: 114.67 114.67 99.51
Fractional coordinates of all 14 atoms:
Mg  0.000  0.000  0.000
Zn  0.117  0.372  0.458
Zn  0.214  0.449  0.906
Zn  0.340  0.883  0.254
Zn  0.543  0.308  0.094
Zn  0.551  0.457  0.765
Zn  0.628  0.086  0.746
Zn  0.692  0.786  0.235
Zn  0.914  0.660  0.542
Ag  0.157  0.026  0.547
Ag  0.389  0.843  0.869
Ag  0.479  0.611  0.453
Ag  0.750  0.250  0.500
Ag  0.974  0.521  0.131